# 1
First-principles (GGA+U) data for a relaxed structure of MgCoSeO, as listed in OQMD via LeMat-Bulk.

The calculation puts the final energy at -4.9706 eV/atom.

The structure belongs to space group Cmc2_1 (No. 36); the cell edges are 3.528, 12.874 and 5.678 Å and the angles 90.00°, 90.00° and 90.00°. Symmetry generates all atoms from Mg at (0.000, 0.160, 0.000), Co at (0.000, 0.449, 0.122), Se at (0.000, 0.165, 0.475) and O at (0.000, 0.418, 0.464).

***

# 2
First-principles (GGA+U) data for a relaxed structure of MgCoSeO, as listed in OQMD via LeMat-Bulk.

The calculation puts the final energy at -5.0403 eV/atom.

The structure belongs to space group Pca2_1 (No. 29); the cell edges are 6.079, 7.593 and 5.709 Å and the angles 90.00°, 90.00° and 90.00°. Symmetry generates all atoms from Mg at (0.123, 0.073, 0.000), Co at (0.038, 0.665, 0.099), Se at (0.061, 0.647, 0.669) and O at (0.085, 0.093, 0.655).

***

# 3
First-principles (GGA+U) data for a relaxed structure of MgCoSeO, as listed in OQMD via LeMat-Bulk.

The calculation puts the final energy at -4.6887 eV/atom.

The structure belongs to space group P6_3mc (No. 186); the cell edges are 3.5971, 3.5971 and 11.5606 Å and the angles 90.00°, 90.00° and 120.00°. Symmetry generates all atoms from Mg at (0.0000, 0.0000, 0.0000), Co at (0.3333, 0.6667, 0.2751), Se at (0.3333, 0.6667, 0.6222) and O at (0.0000, 0.0000, 0.3357).

***

# 4
First-principles (GGA+U) data for a relaxed structure of MgCoSeO, as listed in OQMD via LeMat-Bulk.

The calculation puts the final energy at -4.9707 eV/atom.

The structure belongs to space group Pnma (No. 62); the cell edges are 5.638, 3.537 and 12.964 Å and the angles 90.00°, 90.00° and 90.00°. Symmetry generates all atoms from Mg at (0.243, 0.250, 0.093), Co at (0.124, 0.750, 0.304), Se at (0.236, 0.750, 0.918) and O at (0.223, 0.250, 0.670).

***

# 5
First-principles (GGA+U) data for a relaxed structure of MgCoSeO, as listed in OQMD via LeMat-Bulk.

The calculation puts the final energy at -4.7411 eV/atom.

The structure belongs to space group P4/nmm (No. 129, origin choice 2); the cell edges are 3.203, 3.203 and 12.216 Å and the angles 90.00°, 90.00° and 90.00°. Symmetry generates all atoms from Mg at (0.250, 0.250, 0.081), Co at (0.250, 0.750, 0.500), Se at (0.250, 0.250, 0.648) and O at (0.250, 0.250, 0.914).

***

# 6
First-principles (GGA+U) data for a relaxed structure of MgCoSeO, as listed in OQMD via LeMat-Bulk.

The calculation puts the final energy at -4.3642 eV/atom.

The structure belongs to space group P4/nmm (No. 129, origin choice 2); the cell edges are 3.893, 3.893 and 8.332 Å and the angles 90.00°, 90.00° and 90.00°. Symmetry generates all atoms from Mg at (0.250, 0.250, 0.136), Co at (0.250, 0.250, 0.692), Se at (0.250, 0.750, 0.500) and O at (0.250, 0.250, 0.907).